1.
! UVP2Rh, optimized geometry, DFT PBE; values from VASP
! * space-group type: I-4m2, No. 119
! * total energy: -8.4739 eV per atom
! * N(E_F): 7.3 states/eV/cell
! * total magnetization: 3.47 μB/f.u.
! * energy relative to the elements: -0.758 eV/atom
&SYSTEM
  ibrav = 0, nat = 5, ntyp = 4
/
ATOMIC_SPECIES
U 238.03 U.upf
V 50.94 V.upf
P 30.97 P.upf
Rh 102.91 Rh.upf
CELL_PARAMETERS angstrom
-1.966 1.966 5.098
1.966 -1.966 5.098
1.966 1.966 -5.098
ATOMIC_POSITIONS angstrom
U 0.000 0.000 0.000
V 1.966 0.000 2.549
P 0.000 0.000 3.914
P 0.000 0.000 6.282
Rh 0.000 1.966 2.549

2.
! PaTa4Ti, optimized geometry, DFT PBE; values from VASP
! * space-group type: F-43m, No. 216
! * total energy: -10.5916 eV per atom
! * N(E_F): 9.4 states/eV/cell
! * total magnetization: 0.00 μB/f.u.
! * energy relative to the elements: 0.209 eV/atom
&SYSTEM
  ibrav = 0, nat = 6, ntyp = 3
/
ATOMIC_SPECIES
Pa 231.04 Pa.upf
Ta 180.95 Ta.upf
Ti 47.87 Ti.upf
CELL_PARAMETERS angstrom
0.000 3.934 3.934
3.934 0.000 3.934
3.934 3.934 0.000
ATOMIC_POSITIONS angstrom
Pa 0.000 0.000 0.000
Ta 2.947 2.947 2.947
Ta 4.920 4.920 2.947
Ta 4.920 2.947 4.920
Ta 2.947 4.920 4.920
Ti 5.901 5.901 5.901

3.
! LaRe2Mo, optimized geometry, DFT PBE; values from VASP
! * space-group type: Imm2, No. 44
! * energy above the lowest structure with this stoichiometry: 240 meV/atom
! * total energy: -9.5588 eV per atom
! * N(E_F): 3.9 states/eV/cell
! * total magnetization: 0.00 μB/f.u.
! * energy relative to the elements: 0.605 eV/atom
&SYSTEM
  ibrav = 0, nat = 4, ntyp = 3
/
ATOMIC_SPECIES
La 138.91 La.upf
Re 186.21 Re.upf
Mo 95.94 Mo.upf
CELL_PARAMETERS angstrom
-1.550 2.552 4.823
1.550 -2.552 4.823
1.550 2.552 -4.823
ATOMIC_POSITIONS angstrom
La 0.000 0.000 0.000
Re 1.550 0.000 2.715
Re 0.000 0.000 4.794
Mo 0.000 2.552 2.099

4.
! Ac2BiPt, optimized geometry, DFT PBE; values from VASP
! * space-group type: R-3m, No. 166
! * energy above the lowest structure with this stoichiometry: 746 meV/atom
! * total energy: -4.7140 eV per atom
! * N(E_F): 3.1 states/eV/cell
! * total magnetization: 0.00 μB/f.u.
! * energy relative to the elements: -0.179 eV/atom
&SYSTEM
  ibrav = 0, nat = 4, ntyp = 3
/
ATOMIC_SPECIES
Ac 227.00 Ac.upf
Bi 208.98 Bi.upf
Pt 195.08 Pt.upf
CELL_PARAMETERS angstrom
2.411 1.392 9.385
-2.411 1.392 9.385
0.000 -2.784 9.385
ATOMIC_POSITIONS angstrom
Ac 0.000 0.000 2.750
Ac 0.000 0.000 25.405
Bi 0.000 0.000 14.077
Pt 0.000 0.000 0.000

5.
! ErAl3, optimized geometry, DFT PBE; values from VASP
! * space-group type: Pm-3m, No. 221
! * total energy: -4.3640 eV per atom
! * N(E_F): 1.7 states/eV/cell
! * total magnetization: 0.00 μB/f.u.
! * energy relative to the elements: -0.416 eV/atom
&SYSTEM
  ibrav = 0, nat = 4, ntyp = 2
/
ATOMIC_SPECIES
Er 167.26 Er.upf
Al 26.98 Al.upf
CELL_PARAMETERS angstrom
4.235 0.000 0.000
0.000 4.235 0.000
0.000 0.000 4.235
ATOMIC_POSITIONS angstrom
Er 0.000 0.000 0.000
Al 0.000 2.117 2.117
Al 2.117 0.000 2.117
Al 2.117 2.117 0.000

6.
! SrLuSnAu, optimized geometry, DFT PBE; values from VASP
! * space-group type: F-43m, No. 216
! * total energy: -4.0098 eV per atom
! * N(E_F): 1.8 states/eV/cell
! * total magnetization: 0.00 μB/f.u.
! * energy relative to the elements: -0.639 eV/atom
&SYSTEM
  ibrav = 0, nat = 4, ntyp = 4
/
ATOMIC_SPECIES
Sr 87.62 Sr.upf
Lu 174.97 Lu.upf
Sn 118.71 Sn.upf
Au 196.97 Au.upf
CELL_PARAMETERS angstrom
0.000 3.780 3.780
3.780 0.000 3.780
3.780 3.780 0.000
ATOMIC_POSITIONS angstrom
Sr 0.000 0.000 0.000
Lu 3.780 3.780 3.780
Sn 1.890 1.890 1.890
Au 5.671 5.671 5.671

7.
! InH2Rh, optimized geometry, DFT PBE; values from VASP
! * space-group type: I-42d, No. 122
! * energy above the lowest structure with this stoichiometry: 235 meV/atom
! * total energy: -4.1163 eV per atom
! * N(E_F): 2.6 states/eV/cell
! * total magnetization: 0.00 μB/f.u.
&SYSTEM
  ibrav = 0, nat = 8, ntyp = 3
/
ATOMIC_SPECIES
In 114.82 In.upf
H 1.01 H.upf
Rh 102.91 Rh.upf
CELL_PARAMETERS angstrom
-2.230 2.230 4.658
2.230 -2.230 4.658
2.230 2.230 -4.658
ATOMIC_POSITIONS angstrom
In 0.000 0.000 0.000
In 0.000 2.230 2.329
H 1.115 -0.562 3.494
H 1.668 1.115 1.165
H 1.115 2.792 -1.165
H 0.562 1.115 5.823
Rh 2.230 0.000 2.329
Rh 0.000 0.000 4.658

8.
! Mg4Hg5, optimized geometry, DFT PBE; values from VASP
! * space-group type: I4/mmm, No. 139
! * energy above the lowest structure with this stoichiometry: 51 meV/atom
! * total energy: -0.9884 eV per atom
! * N(E_F): 3.2 states/eV/cell
! * total magnetization: 0.00 μB/f.u.
! * energy relative to the elements: -0.112 eV/atom
&SYSTEM
  ibrav = 0, nat = 9, ntyp = 2
/
ATOMIC_SPECIES
Mg 24.30 Mg.upf
Hg 200.59 Hg.upf
CELL_PARAMETERS angstrom
-4.691 4.691 2.309
4.691 -4.691 2.309
4.691 4.691 -2.309
ATOMIC_POSITIONS angstrom
Mg 3.036 0.000 0.000
Mg 6.346 0.000 0.000
Mg 0.000 3.036 0.000
Mg 0.000 6.346 0.000
Hg 0.000 0.000 0.000
Hg 3.090 3.090 0.000
Hg 1.601 -1.601 2.309
Hg -1.601 1.601 2.309
Hg 1.601 1.601 2.309

9.
! Sm6ZnOs, optimized geometry, DFT PBE; values from VASP
! * space-group type: I4/mmm, No. 139
! * total energy: -5.1786 eV per atom
! * N(E_F): 6.9 states/eV/cell
! * total magnetization: 0.00 μB/f.u.
! * energy relative to the elements: -0.076 eV/atom
&SYSTEM
  ibrav = 0, nat = 8, ntyp = 3
/
ATOMIC_SPECIES
Sm 150.36 Sm.upf
Zn 65.41 Zn.upf
Os 190.23 Os.upf
CELL_PARAMETERS angstrom
-2.519 2.519 8.943
2.519 -2.519 8.943
2.519 2.519 -8.943
ATOMIC_POSITIONS angstrom
Sm 2.519 0.000 1.715
Sm 0.000 0.000 4.418
Sm 2.519 0.000 7.227
Sm 0.000 2.519 1.715
Sm 0.000 0.000 13.467
Sm 0.000 2.519 7.227
Zn 0.000 0.000 0.000
Os 0.000 0.000 8.943

10.
! Ba2ZrOs, optimized geometry, DFT PBE; values from VASP
! * space-group type: C2/m, No. 12
! * energy above the lowest structure with this stoichiometry: 84 meV/atom
! * total energy: -5.6170 eV per atom
! * N(E_F): 3.1 states/eV/cell
! * total magnetization: 0.41 μB/f.u.
! * energy relative to the elements: 0.289 eV/atom
&SYSTEM
  ibrav = 0, nat = 4, ntyp = 3
/
ATOMIC_SPECIES
Ba 137.33 Ba.upf
Zr 91.22 Zr.upf
Os 190.23 Os.upf
CELL_PARAMETERS angstrom
9.789 -1.759 0.000
9.789 1.759 0.000
-0.897 0.000 4.132
ATOMIC_POSITIONS angstrom
Ba 2.764 0.000 0.598
Ba 15.917 0.000 3.534
Zr -0.449 0.000 2.066
Os 9.789 0.000 0.000

11.
! Tb2YOsC2, optimized geometry, DFT PBE; values from VASP
! * space-group type: Pnnm, No. 58
! * total energy: -7.7704 eV per atom
! * N(E_F): 8.2 states/eV/cell
! * total magnetization: 0.00 μB/f.u.
! * energy relative to the elements: -0.203 eV/atom
&SYSTEM
  ibrav = 0, nat = 12, ntyp = 4
/
ATOMIC_SPECIES
Tb 158.93 Tb.upf
Y 88.91 Y.upf
Os 190.23 Os.upf
C 12.01 C.upf
CELL_PARAMETERS angstrom
5.599 0.000 0.000
0.000 11.057 0.000
0.000 0.000 3.736
ATOMIC_POSITIONS angstrom
Tb 0.254 2.281 0.000
Tb 2.546 7.809 1.868
Tb 3.053 3.248 1.868
Tb 5.346 8.776 0.000
Y 0.000 5.528 1.868
Y 2.800 0.000 0.000
Os 0.000 0.000 1.868
Os 2.800 5.528 0.000
C 1.289 6.830 0.000
C 1.510 1.301 1.868
C 4.089 9.755 1.868
C 4.310 4.227 0.000

12.
! MoP2H, optimized geometry, DFT PBE; values from VASP
! * space-group type: Fm-3m, No. 225
! * energy above the lowest structure with this stoichiometry: 301 meV/atom
! * total energy: -5.6663 eV per atom
! * N(E_F): 3.4 states/eV/cell
! * total magnetization: 0.22 μB/f.u.
&SYSTEM
  ibrav = 0, nat = 4, ntyp = 3
/
ATOMIC_SPECIES
Mo 95.94 Mo.upf
P 30.97 P.upf
H 1.01 H.upf
CELL_PARAMETERS angstrom
0.000 2.926 2.926
2.926 0.000 2.926
2.926 2.926 0.000
ATOMIC_POSITIONS angstrom
Mo 0.000 0.000 0.000
P 1.463 1.463 1.463
P 4.388 4.388 4.388
H 2.926 2.926 2.926

> N(E_F) of number 1 (UVP2Rh)?

7.3 states/eV/cell